Arrangement P

VASP calculation (PBE) on a geometry-optimized Li6Tl3Cd structure.

Structure (CIF):
```
data_Li6Tl3Cd
_cell_length_a 8.324
_cell_length_b 4.801
_cell_length_c 10.215
_cell_angle_alpha 90.00
_cell_angle_beta 106.23
_cell_angle_gamma 90.00
_space_group_name_H-M_alt 'P 1 21/m 1'
_space_group_IT_number 11
_space_group_name_Hall '-P 2yb'
loop_
_atom_site_label
_atom_site_type_symbol
_atom_site_fract_x
_atom_site_fract_y
_atom_site_fract_z
_atom_site_occupancy
Li1 Li 0.047 0.250 0.405 1
Li2 Li 0.155 0.750 0.197 1
Li3 Li 0.254 0.250 0.001 1
Li4 Li 0.350 0.250 0.303 1
Li5 Li 0.350 0.750 0.800 1
Li6 Li 0.446 0.250 0.610 1
Tl1 Tl 0.041 0.750 0.896 1
Tl2 Tl 0.149 0.250 0.701 1
Tl3 Tl 0.269 0.750 0.492 1
Cd1 Cd 0.447 0.750 0.094 1
```

Values from the calculation:
Fermi-level density of states ... 3.68 states/eV/f.u.
Magnetization ... 0.00 μB/cell



Arrangement Q

VASP calculation (PBE) on a geometry-optimized Li6Tl3Cd structure.

Structure (CIF):
```
data_Li6Tl3Cd
_cell_length_a 10.234
_cell_length_b 10.234
_cell_length_c 10.234
_cell_angle_alpha 90.00
_cell_angle_beta 90.00
_cell_angle_gamma 90.00
_space_group_name_H-M_alt 'F m -3 m'
_space_group_IT_number 225
_space_group_name_Hall '-F 4 2 3'
loop_
_atom_site_label
_atom_site_type_symbol
_atom_site_fract_x
_atom_site_fract_y
_atom_site_fract_z
_atom_site_occupancy
Li1 Li 0.000 0.000 0.249 1
Tl1 Tl 0.000 0.000 0.500 1
Tl2 Tl 0.250 0.250 0.250 1
Cd1 Cd 0.000 0.000 0.000 1
```

Values from the calculation:
Fermi-level density of states ... 5.36 states/eV/f.u.
Magnetization ... 0.00 μB/cell



What should be chosen as the least stable of them? Choose arrangement Q.



Arrangement P

VASP calculation (PBE) on a geometry-optimized Li7Tl4Cd structure.

Structure (CIF):
```
data_Li7Tl4Cd
_cell_length_a 5.518
_cell_length_b 5.901
_cell_length_c 8.085
_cell_angle_alpha 107.24
_cell_angle_beta 98.09
_cell_angle_gamma 94.28
_space_group_name_H-M_alt 'P -1'
_space_group_IT_number 2
_space_group_name_Hall '-P 1'
loop_
_atom_site_label
_atom_site_type_symbol
_atom_site_fract_x
_atom_site_fract_y
_atom_site_fract_z
_atom_site_occupancy
Li1 Li 0.000 0.000 0.000 1
Li2 Li 0.171 0.358 0.648 1
Li3 Li 0.284 0.941 0.340 1
Li4 Li 0.491 0.747 0.009 1
Tl1 Tl 0.214 0.888 0.686 1
Tl2 Tl 0.313 0.440 0.314 1
Cd1 Cd 0.000 0.500 0.000 1
```

Values from the calculation:
Fermi-level density of states ... 4.69 states/eV/f.u.
Magnetization ... 0.00 μB/cell



Arrangement Q

VASP calculation (PBE) on a geometry-optimized Li7Tl4Cd structure.

Structure (CIF):
```
data_Li7Tl4Cd
_cell_length_a 13.809
_cell_length_b 5.123
_cell_length_c 8.373
_cell_angle_alpha 90.00
_cell_angle_beta 120.74
_cell_angle_gamma 90.00
_space_group_name_H-M_alt 'C 1 2/m 1'
_space_group_IT_number 12
_space_group_name_Hall '-C 2y'
loop_
_atom_site_label
_atom_site_type_symbol
_atom_site_fract_x
_atom_site_fract_y
_atom_site_fract_z
_atom_site_occupancy
Li1 Li 0.000 0.000 0.000 1
Li2 Li 0.074 0.500 0.418 1
Li3 Li 0.202 0.500 0.880 1
Li4 Li 0.229 0.500 0.256 1
Tl1 Tl 0.069 0.000 0.722 1
Tl2 Tl 0.184 0.000 0.350 1
Cd1 Cd 0.000 0.500 0.000 1
```

Values from the calculation:
Fermi-level density of states ... 3.78 states/eV/f.u.
Magnetization ... 0.00 μB/cell



What should be chosen as the least stable of them? Choose arrangement Q.



Arrangement P

VASP calculation (PBE) on a geometry-optimized LiTlCd structure.

Structure (CIF):
```
data_LiTlCd
_cell_length_a 3.187
_cell_length_b 3.187
_cell_length_c 13.304
_cell_angle_alpha 90.00
_cell_angle_beta 90.00
_cell_angle_gamma 90.00
_space_group_name_H-M_alt 'I 4 m m'
_space_group_IT_number 107
_space_group_name_Hall 'I 4 -2'
loop_
_atom_site_label
_atom_site_type_symbol
_atom_site_fract_x
_atom_site_fract_y
_atom_site_fract_z
_atom_site_occupancy
Li1 Li 0.000 0.000 0.000 1
Tl1 Tl 0.000 0.000 0.336 1
Cd1 Cd 0.000 0.000 0.640 1
```

Values from the calculation:
Fermi-level density of states ... 1.07 states/eV/f.u.
Magnetization ... 0.00 μB/cell



Arrangement Q

VASP calculation (PBE) on a geometry-optimized LiTlCd structure.

Structure (CIF):
```
data_LiTlCd
_cell_length_a 4.8734
_cell_length_b 4.8734
_cell_length_c 3.3282
_cell_angle_alpha 90.00
_cell_angle_beta 90.00
_cell_angle_gamma 120.00
_space_group_name_H-M_alt 'P 3 m 1'
_space_group_IT_number 156
_space_group_name_Hall 'P 3 -2"'
loop_
_atom_site_label
_atom_site_type_symbol
_atom_site_fract_x
_atom_site_fract_y
_atom_site_fract_z
_atom_site_occupancy
Li1 Li 0.0000 0.0000 0.0000 1
Tl1 Tl 0.6667 0.3333 0.3205 1
Cd1 Cd 0.3333 0.6667 0.6739 1
```

Values from the calculation:
Fermi-level density of states ... 1.10 states/eV/f.u.
Magnetization ... 0.00 μB/cell



What should be chosen as the least stable of them? Choose arrangement Q.